Entry from Alexandria: crystalline Ho2TlHg3 at its relaxed geometry (PBE).

abc: 6.8932 10.0360 17.2262
angles: 90.00 90.00 90.00
With the nearest neighbours (Å) after each atom.
Space group Fmmm (No. 69)
Asymmetric unit:
1 Ho 0.2479 0.0000 0.0000 x8  10 Hg 3.31-3.38, 2 Tl 3.36, 2 Ho 3.42-3.48
2 Ho 0.2500 0.2500 0.2500 x8  8 Hg 3.36-3.38, 4 Tl 3.36, 2 Ho 3.45
3 Tl 0.0000 0.0000 0.3330 x8  3 Hg 2.90-2.91
4 Hg 0.0000 0.0000 0.1645 x8  2 Hg 2.86, 1 Tl 2.90
5 Hg 0.0000 0.2484 0.0826 x16  2 Hg 2.85-2.86, 1 Tl 2.91

* E above lowest polymorph: 0.0 meV per atom
* calculated formation energy: -0.3095 eV per atom
* total moment: 0.0 μB/f.u.